[1]
{
  "formula": "HfNpH4",
  "functional": "PBE",
  "state": "relaxed",
  "lattice": [[3.341, 0.000, 0.000], [0.000, 3.341, 0.000], [0.000, 0.000, 5.386]],
  "species": ["Hf", "Np", "H", "H", "H", "H"],
  "fractional_positions": [[0.000, 0.000, 0.000], [0.500, 0.500, 0.500], [0.000, 0.500, 0.216], [0.000, 0.500, 0.784], [0.500, 0.000, 0.216], [0.500, 0.000, 0.784]],
  "dft_energy_ev_per_cell": -38.42,
  "spacegroup": "No. 123",
  "vol_a3_per_cell": 60
}

[2]
{
  "formula": "Y2Mg3Ag2",
  "functional": "PBE",
  "state": "relaxed",
  "lattice": [[5.322, -2.151, 0.000], [5.322, 2.151, 0.000], [-0.889, 0.000, 7.388]],
  "species": ["Y", "Y", "Mg", "Mg", "Mg", "Ag", "Ag"],
  "fractional_positions": [[0.125, 0.125, 0.351], [0.875, 0.875, 0.649], [0.189, 0.189, 0.867], [0.500, 0.500, 0.000], [0.811, 0.811, 0.133], [0.410, 0.410, 0.345], [0.590, 0.590, 0.655]],
  "dft_energy_ev_per_cell": -24.78,
  "delta_e_f_ev_per_fu": -1.4,
  "polymorph_energy_kj_per_mol_atoms": 4.6,
  "spacegroup": "No. 12",
  "vol_a3_per_cell": 169
}

[3]
{
  "formula": "Li4MgIn3",
  "functional": "PBE",
  "state": "relaxed",
  "lattice": [[8.326, -1.504, 0.000], [8.326, 1.504, 0.000], [-3.691, 0.000, 6.975]],
  "species": ["Li", "Li", "Li", "Li", "Mg", "In", "In", "In"],
  "fractional_positions": [[0.149, 0.149, 0.332], [0.151, 0.151, 0.969], [0.849, 0.849, 0.031], [0.851, 0.851, 0.668], [0.000, 0.000, 0.500], [0.320, 0.320, 0.321], [0.500, 0.500, 0.000], [0.680, 0.680, 0.679]],
  "dft_energy_ev_per_cell": -18.53,
  "delta_e_f_ev_per_fu": -1.1,
  "polymorph_energy_kj_per_mol_atoms": 11.6,
  "spacegroup": "No. 12",
  "vol_a3_per_cell": 175
}

Number 2 is which compound?
Y2Mg3Ag2